A relaxed structure of BaSrGa3, computed with GGA-PBE.

a b c (Å): 5.7826 5.7826 5.7826
angles (deg): 90.00 90.00 90.00
Closest atoms and distances in Å follow each position.
Space group Pm-3m (No. 221)
One atom of each set of equivalent atoms:
Ba1 0.0000 0.0000 0.0000 (multiplicity 1)  12 Ga 4.09
Sr1 0.5000 0.5000 0.5000 (multiplicity 1)  6 Ga 2.89
Ga1 0.0000 0.5000 0.5000 (multiplicity 3)  2 Sr 2.89

Computed properties:
ΔE_f = 0.2923 eV per atom
DFT total energy = -2.245 eV/atom
magnetization = 0.00 μB per formula unit
excess energy over the best structure of this formula in the dataset = 3.68 eV/f.u.